Sc4GaAg2 | the Alexandria database | PBE | optimized geometry; D(E_F) = 8.058 states/eV/f.u.; symmetry = No. 166; electronic total energy = -5.077 eV per atom; calculated volume = 151.8 Å³/cell
1.0
4.554 0.000 1.423
2.055 4.065 1.423
-0.055 -0.034 8.175
Sc Ga Ag
4 1 2
Cartesian
0.809 0.498 5.410 Sc
5.745 3.533 5.611 Sc
4.087 2.513 2.919 Sc
2.468 1.518 8.102 Sc
0.000 0.000 0.000 Ga
4.891 3.008 8.345 Ag
1.664 1.023 2.676 Ag